Li3CrO4 (PBE with a Hubbard U, optimized geometry); volume = 8.740 A^3/atom; symmetry = C2/c; spin magnetization = 1.0 μB/f.u.; raw total energy = -189.0 eV per cell
1.0
5.771 -0.070 -0.008
-0.084 5.771 -0.008
2.702 2.708 8.391
Cr O Li
4 16 12
Direct
0.076 0.797 0.114
0.924 0.203 0.886
0.203 0.924 0.386
0.797 0.076 0.614
0.965 0.724 0.359
0.931 0.173 0.396
0.276 0.035 0.141
0.724 0.965 0.859
0.583 0.298 0.616
0.702 0.417 0.884
0.406 0.171 0.362
0.417 0.702 0.384
0.035 0.276 0.641
0.827 0.069 0.104
0.298 0.583 0.116
0.173 0.931 0.896
0.069 0.827 0.604
0.171 0.406 0.862
0.829 0.594 0.138
0.594 0.829 0.638
0.056 0.309 0.137
0.187 0.445 0.372
0.453 0.677 0.879
0.547 0.323 0.121
0.323 0.547 0.621
0.309 0.056 0.637
0.691 0.944 0.363
0.944 0.691 0.863
0.555 0.813 0.128
0.445 0.187 0.872
0.677 0.453 0.379
0.813 0.555 0.628